# 1
# Ga5Fe10Co, relaxed, DFT PBE
# - ΔH_f (0 K): -0.71 eV/f.u.
# - Total magnetic moment: 48.60 Bohr magnetons per cell
data_Ga5Fe10Co
_chemical_formula_sum 'Ga10 Fe20 Co2'
_symmetry_space_group_name_H-M 'I 4 2 2'
_symmetry_Int_Tables_number 97
_symmetry_space_group_name_Hall 'I 4 2'
_cell_length_a 9.303
_cell_length_b 9.303
_cell_length_c 4.638
_cell_angle_alpha 90.00
_cell_angle_beta 90.00
_cell_angle_gamma 90.00
loop_
_atom_site_label
_atom_site_fract_x
_atom_site_fract_y
_atom_site_fract_z
Ga1 0.000 0.000 0.000
Ga2 0.169 0.331 0.250
Fe1 0.000 0.500 0.000
Fe2 0.071 0.230 0.748
Co1 0.000 0.000 0.500

# 2
# Dy3TmTh4, relaxed, DFT PBE
# - ΔH_f (0 K): 1.09 eV/f.u.
# - Total magnetic moment: 0.00 Bohr magnetons per cell
data_Dy3TmTh4
_chemical_formula_sum 'Dy6 Tm2 Th8'
_symmetry_space_group_name_H-M 'I m m m'
_symmetry_Int_Tables_number 71
_symmetry_space_group_name_Hall '-I 2 2'
_cell_length_a 3.421
_cell_length_b 11.325
_cell_length_c 13.184
_cell_angle_alpha 90.00
_cell_angle_beta 90.00
_cell_angle_gamma 90.00
loop_
_atom_site_label
_atom_site_fract_x
_atom_site_fract_y
_atom_site_fract_z
Dy1 0.000 0.000 0.000
Dy2 0.000 0.500 0.234
Tm1 0.000 0.000 0.500
Th1 0.000 0.253 0.371

# 3
# Li2Nd3Hg4, relaxed, DFT PBE
# - Offset from the most stable computed form: 0.00 kcal/mol of atoms
# - ΔH_f (0 K): -3.55 eV/f.u.
# - Total magnetic moment: 0.00 Bohr magnetons per cell
data_Li2Nd3Hg4
_chemical_formula_sum 'Li4 Nd6 Hg8'
_symmetry_space_group_name_H-M 'C 1 2/m 1'
_symmetry_Int_Tables_number 12
_symmetry_space_group_name_Hall '-C 2y'
_cell_length_a 9.491
_cell_length_b 5.266
_cell_length_c 9.190
_cell_angle_alpha 90.00
_cell_angle_beta 101.35
_cell_angle_gamma 90.00
loop_
_atom_site_label
_atom_site_fract_x
_atom_site_fract_y
_atom_site_fract_z
Li1 0.227 0.000 0.393
Nd1 0.000 0.500 0.000
Nd2 0.120 0.000 0.727
Hg1 0.069 0.500 0.364
Hg2 0.191 0.000 0.092

# 4
# DyErTcAu, relaxed, DFT PBE
# - ΔH_f (0 K): -1.52 eV/f.u.
# - Total magnetic moment: 0.00 Bohr magnetons per cell
data_DyErTcAu
_chemical_formula_sum 'Dy4 Er4 Tc4 Au4'
_symmetry_space_group_name_H-M 'F -4 3 m'
_symmetry_Int_Tables_number 216
_symmetry_space_group_name_Hall 'F -4 2 3'
_cell_length_a 6.973
_cell_length_b 6.973
_cell_length_c 6.973
_cell_angle_alpha 90.00
_cell_angle_beta 90.00
_cell_angle_gamma 90.00
loop_
_atom_site_label
_atom_site_fract_x
_atom_site_fract_y
_atom_site_fract_z
Dy1 0.000 0.000 0.000
Er1 0.000 0.000 0.500
Tc1 0.250 0.250 0.250
Au1 0.250 0.250 0.750

# 5
# LaAg2Pb, relaxed, DFT PBE
# - ΔH_f (0 K): -0.11 eV/f.u.
# - Total magnetic moment: 0.00 Bohr magnetons per cell
data_LaAg2Pb
_chemical_formula_sum 'La4 Ag8 Pb4'
_symmetry_space_group_name_H-M 'I -4 2 d'
_symmetry_Int_Tables_number 122
_symmetry_space_group_name_Hall 'I -4 2bw'
_cell_length_a 4.690
_cell_length_b 4.690
_cell_length_c 20.715
_cell_angle_alpha 90.00
_cell_angle_beta 90.00
_cell_angle_gamma 90.00
loop_
_atom_site_label
_atom_site_fract_x
_atom_site_fract_y
_atom_site_fract_z
La1 0.000 0.000 0.000
Ag1 0.183 0.250 0.625
Pb1 0.000 0.000 0.500

# 6
# YSi2Br, relaxed, DFT PBE
# - Offset from the most stable computed form: 12.13 kcal/mol of atoms
# - Total magnetic moment: 0.00 Bohr magnetons per cell
data_YSi2Br
_chemical_formula_sum 'Y2 Si4 Br2'
_symmetry_space_group_name_H-M 'I m m m'
_symmetry_Int_Tables_number 71
_symmetry_space_group_name_Hall '-I 2 2'
_cell_length_a 3.869
_cell_length_b 4.098
_cell_length_c 10.470
_cell_angle_alpha 90.00
_cell_angle_beta 90.00
_cell_angle_gamma 90.00
loop_
_atom_site_label
_atom_site_fract_x
_atom_site_fract_y
_atom_site_fract_z
Y1 0.000 0.000 0.000
Si1 0.000 0.500 0.256
Br1 0.000 0.000 0.500

# 7
# BP, relaxed, DFT PBE
# - ΔH_f (0 K): 0.06 eV/f.u.
# - Total magnetic moment: 0.00 Bohr magnetons per cell
data_BP
_chemical_formula_sum 'B8 P8'
_symmetry_space_group_name_H-M 'I -4 3 m'
_symmetry_Int_Tables_number 217
_symmetry_space_group_name_Hall 'I -4 2 3'
_cell_length_a 6.228
_cell_length_b 6.228
_cell_length_c 6.228
_cell_angle_alpha 90.00
_cell_angle_beta 90.00
_cell_angle_gamma 90.00
loop_
_atom_site_label
_atom_site_fract_x
_atom_site_fract_y
_atom_site_fract_z
B1 0.160 0.160 0.160
P1 0.163 0.163 0.837

# 8
# Pm2SmH8, relaxed, DFT PBE
# - Total energy: -4.330 eV/atom
# - Total magnetic moment: 0.00 Bohr magnetons per cell
data_Pm2SmH8
_chemical_formula_sum 'Pm4 Sm2 H16'
_symmetry_space_group_name_H-M 'I m m m'
_symmetry_Int_Tables_number 71
_symmetry_space_group_name_Hall '-I 2 2'
_cell_length_a 3.786
_cell_length_b 5.323
_cell_length_c 11.351
_cell_angle_alpha 90.00
_cell_angle_beta 90.00
_cell_angle_gamma 90.00
loop_
_atom_site_label
_atom_site_fract_x
_atom_site_fract_y
_atom_site_fract_z
Pm1 0.000 0.000 0.169
Sm1 0.000 0.000 0.500
H1 0.000 0.232 0.000
H2 0.000 0.260 0.340
H3 0.000 0.500 0.159